[1]
Be2V2Cu | GGA-PBE | optimized geometry

Lattice parameters (Å, degrees): 5.688 5.688 3.408 90.00 90.00 90.00
Atoms (fractional coordinates):
Be 0.369 0.869 0.000
Be 0.869 0.631 0.000
Be 0.631 0.131 0.000
Be 0.131 0.369 0.000
Cu 0.000 0.000 0.000
Cu 0.500 0.500 0.000
V 0.165 0.665 0.500
V 0.665 0.835 0.500
V 0.835 0.335 0.500
V 0.335 0.165 0.500

**V**: 11.026 Å³/atom
**Energy of formation from the pure elements**: -1.4 kJ/mol of atoms

=====

[2]
BeVCu | GGA-PBE | optimized geometry

Lattice parameters (Å, degrees): 4.041 4.041 4.813 90.00 90.00 120.00
Atoms (fractional coordinates):
Be 0.333 0.667 0.250
Be 0.667 0.333 0.750
Cu 0.000 0.000 0.000
Cu 0.000 0.000 0.500
V 0.333 0.667 0.750
V 0.667 0.333 0.250

**E above lowest polymorph**: 253 meV/atom
**V**: 11.341 Å³/atom
**Energy of formation from the pure elements**: 18.3 kJ/mol of atoms

=====

[3]
Be2VCu | GGA-PBE | optimized geometry

Lattice parameters (Å, degrees): 6.082 6.082 4.948 52.07 52.07 90.00
Atoms (fractional coordinates):
Be 0.646 0.125 0.250
Be 0.104 0.625 0.250
Be 0.375 0.354 0.750
Be 0.875 0.896 0.750
Cu 0.000 0.000 0.000
Cu 0.750 0.250 0.500
V 0.500 0.500 0.000
V 0.250 0.750 0.500

**E above lowest polymorph**: 537 meV/atom
**V**: 11.312 Å³/atom
**Energy of formation from the pure elements**: 43.4 kJ/mol of atoms

=====

[4]
Be2VCu2 | GGA-PBE | optimized geometry

Lattice parameters (Å, degrees): 3.290 3.290 5.846 73.66 73.66 90.00
Site moments in Bohr magnetons follow the coordinates.
Atoms (fractional coordinates):
Be 0.750 0.250 0.500  -0.01
Be 0.250 0.750 0.500  -0.01
Cu 0.390 0.390 0.219  0.05
Cu 0.610 0.610 0.781  0.05
V 0.000 0.000 0.000  1.46

**E above lowest polymorph**: 274 meV/atom
**V**: 11.613 Å³/atom
**Energy of formation from the pure elements**: 27.3 kJ/mol of atoms

=====

[5]
BeV2Cu2 | GGA-PBE | optimized geometry

Lattice parameters (Å, degrees): 5.538 5.538 4.080 90.00 90.00 90.00
Site moments in Bohr magnetons follow the coordinates.
Atoms (fractional coordinates):
Be 0.000 0.000 0.000  -0.01
Be 0.500 0.500 0.000  -0.01
Cu 0.351 0.851 0.000  0.03
Cu 0.851 0.649 0.000  0.03
Cu 0.649 0.149 0.000  0.03
Cu 0.149 0.351 0.000  0.03
V 0.161 0.661 0.500  0.68
V 0.661 0.839 0.500  0.68
V 0.839 0.339 0.500  0.68
V 0.339 0.161 0.500  0.68

**V**: 12.512 Å³/atom
**Energy of formation from the pure elements**: 30.2 kJ/mol of atoms

=====

[6]
BeVCu | GGA-PBE | optimized geometry

Lattice parameters (Å, degrees): 4.325 2.439 6.518 102.80 89.99 90.03
Atoms (fractional coordinates):
Be 0.418 0.834 0.527
Be 0.918 0.610 0.101
Cu 0.588 0.494 0.819
Cu 0.088 0.954 0.810
V 0.418 0.237 0.189
V 0.918 0.208 0.439

**E above lowest polymorph**: 71 meV/atom
**V**: 11.174 Å³/atom
**Energy of formation from the pure elements**: 0.8 kJ/mol of atoms

=====

[7]
BeVCu | GGA-PBE | optimized geometry

Lattice parameters (Å, degrees): 3.949 3.949 5.685 69.68 69.68 60.00
Atoms (fractional coordinates):
Cu 0.294 0.294 0.118
Cu 0.706 0.706 0.882
V 0.130 0.130 0.611
V 0.870 0.870 0.389
Be 0.435 0.435 0.696
Be 0.565 0.565 0.304

**E above lowest polymorph**: 231 meV/atom
**V**: 11.721 Å³/atom
**Energy of formation from the pure elements**: 16.3 kJ/mol of atoms

=====

[8]
BeVCu3 | GGA-PBE | optimized geometry

Lattice parameters (Å, degrees): 4.012 4.012 4.012 90.00 90.00 90.00
Site moments in Bohr magnetons follow the coordinates.
Atoms (fractional coordinates):
Be 0.000 0.000 0.000  -0.07
Cu 0.000 0.500 0.000  0.01
Cu 0.000 0.000 0.500  0.01
Cu 0.500 0.000 0.000  0.01
V 0.500 0.500 0.500  2.18

**E above lowest polymorph**: 0 meV/atom
**V**: 12.917 Å³/atom
**Energy of formation from the pure elements**: 46.3 kJ/mol of atoms

=====

> What is the V in the sixth record?

11.174 Å³/atom

=====

> The highest energy of formation from the pure elements belongs to which entry?

BeVCu3